(1)
Density functional theory data (PBE) for Sr2ZrCl after structural relaxation.

Calculated values
- Size of the total moment: 2.7 μB/cell
- Fermi-level density of states: 1.257 states/eV per atom
- Symmetry: I-4m2, No. 119

Cell and atoms, written as POSCAR:
```
Sr2ZrCl
1.0
-2.300 2.300 6.870
2.300 -2.300 6.870
2.300 2.300 -6.870
Sr Zr Cl
2 1 1
Cartesian
0.000 0.000 0.000
0.000 2.300 3.435
2.300 0.000 3.435
0.000 0.000 6.870
```

---

(2)
Density functional theory data (PBE) for Sr2ZrCl after structural relaxation.

Calculated values
- Size of the total moment: 0.0 μB/cell
- Fermi-level density of states: 0.854 states/eV per atom
- Symmetry: P4/mmm, No. 123

Cell and atoms, written as POSCAR:
```
Sr2ZrCl
1.0
3.604 0.000 0.000
0.000 3.604 0.000
0.000 0.000 9.603
Sr Zr Cl
2 1 1
Cartesian
0.000 0.000 2.217
0.000 0.000 7.387
1.802 1.802 4.802
1.802 1.802 0.000
```

---

(3)
Density functional theory data (PBE) for Sr2ZrCl after structural relaxation.

Calculated values
- Size of the total moment: 0.0 μB/cell
- Fermi-level density of states: 1.049 states/eV per atom
- Symmetry: C2/m, No. 12

Cell and atoms, written as POSCAR:
```
Sr2ZrCl
1.0
3.290 -1.896 0.000
3.290 1.896 0.000
-2.179 0.000 10.139
Sr Zr Cl
2 1 1
Cartesian
1.095 0.000 2.264
3.305 0.000 7.875
-1.090 0.000 5.070
3.290 0.000 0.000
```

---

(4)
Density functional theory data (PBE) for Sr2ZrCl after structural relaxation.

Calculated values
- Size of the total moment: 0.0 μB/cell
- Fermi-level density of states: 1.161 states/eV per atom
- Symmetry: Imm2, No. 44

Cell and atoms, written as POSCAR:
```
Sr2ZrCl
1.0
-1.745 3.040 5.990
1.745 -3.040 5.990
1.745 3.040 -5.990
Sr Zr Cl
2 1 1
Cartesian
0.000 0.000 0.000
0.000 3.040 2.279
1.745 0.000 3.355
0.000 0.000 5.585
```

---

Which one is most stable, and which one is least stable? (3) is the most stable of them, while (1) is the least stable.